Entry w
# Dy4Ho3Er

A relaxed structure of Dy4Ho3Er (PBE, the Alexandria database).

The structure in extended XYZ format:
```
16
Lattice="11.157 0.000 0.000 0.000 7.218 0.000 0.000 0.000 6.240" Properties=species:S:1:pos:R:3 pbc="T T T"
Dy 0.000 0.906 0.000
Dy 0.000 6.311 3.118
Dy 2.792 0.907 2.081
Dy 2.786 6.311 5.200
Dy 5.578 0.907 6.237
Dy 5.578 6.312 3.120
Dy 8.365 0.907 2.081
Dy 8.370 6.311 5.200
Ho 0.000 2.711 3.118
Ho 2.788 2.711 5.198
Ho 2.790 4.507 2.078
Ho 5.578 4.507 6.238
Ho 8.369 2.711 5.198
Ho 8.366 4.507 2.078
Er 0.000 4.506 0.000
Er 5.578 2.712 3.120
```

Entry x
# Dy4Ho3Er

A relaxed structure of Dy4Ho3Er (PBE, the Alexandria database).

The structure in extended XYZ format:
```
8
Lattice="2.787 -12.911 0.000 2.787 12.911 0.000 0.000 0.000 3.542" Properties=species:S:1:pos:R:3 pbc="T T T"
Dy 2.787 10.251 0.000
Dy 2.787 7.153 0.000
Dy 2.787 -7.153 0.000
Dy 2.787 -10.251 0.000
Ho 2.787 3.980 1.771
Ho 2.787 0.000 0.000
Ho 2.787 -3.980 1.771
Er 0.000 0.000 1.771
```

It is entry w that is most stable; the runner-up trails by 195 meV/atom.

Entry w
# Dy12Ho7Er

A relaxed structure of Dy12Ho7Er (PBE, the Alexandria database).

The structure in extended XYZ format:
```
20
Lattice="9.224 5.325 2.212 -9.224 5.325 2.212 0.000 -10.651 2.212" Properties=species:S:1:pos:R:3 pbc="T T T"
Dy -1.946 -3.383 1.442
Dy -1.957 3.377 1.442
Dy -4.821 2.105 2.826
Dy -4.234 -3.123 3.810
Dy 0.588 -5.228 2.826
Dy 3.903 0.006 1.442
Dy -3.903 -0.006 5.194
Dy -0.588 5.228 3.810
Dy 4.234 3.123 2.826
Dy 4.821 -2.105 3.810
Dy 1.957 -3.377 5.194
Dy 1.946 3.383 5.194
Ho 0.000 0.000 0.000
Ho -2.802 -0.123 1.859
Ho 1.507 -2.365 1.859
Ho 1.295 2.488 1.859
Ho -1.295 -2.488 4.777
Ho -1.507 2.365 4.777
Ho 2.802 0.123 4.777
Er 0.000 0.000 3.318
```

Entry x
# Dy12Ho7Er

A relaxed structure of Dy12Ho7Er (PBE, the Alexandria database).

The structure in extended XYZ format:
```
20
Lattice="6.357 3.670 4.531 -6.357 3.670 4.531 0.000 -7.341 4.531" Properties=species:S:1:pos:R:3 pbc="T T T"
Dy -0.401 -2.203 2.068
Dy -1.707 1.449 2.068
Dy -3.578 1.125 5.672
Dy -2.764 -2.536 7.922
Dy 0.814 -3.661 5.672
Dy 2.108 0.754 2.068
Dy -2.108 -0.754 11.526
Dy -0.814 3.661 7.922
Dy 2.764 2.536 5.672
Dy 3.578 -1.125 7.922
Dy 1.707 -1.449 11.526
Dy 0.401 2.203 11.526
Ho 0.000 0.000 0.000
Ho -1.704 -1.444 4.721
Ho -0.398 2.197 4.721
Ho 2.102 -0.754 4.721
Ho -2.102 0.754 8.873
Ho 0.398 -2.197 8.873
Ho 1.704 1.444 8.873
Er 0.000 0.000 6.797
```

It is entry x that is most stable; the runner-up trails by 30 meV/atom.

Entry w
# Dy4Ho3Er4

A relaxed structure of Dy4Ho3Er4 (PBE, the Alexandria database).

The structure in extended XYZ format:
```
11
Lattice="9.184 -5.536 0.000 9.184 5.536 0.000 -0.665 0.000 3.446" Properties=species:S:1:pos:R:3 pbc="T T T"
Dy 9.184 3.248 0.000
Dy 4.934 0.000 0.958
Dy 12.769 0.000 2.488
Dy 9.184 -3.248 0.000
Ho 1.584 0.000 2.097
Ho 8.851 0.000 1.723
Ho 16.119 0.000 1.348
Er 5.504 2.667 2.856
Er 12.199 2.667 0.589
Er 5.504 -2.667 2.856
Er 12.199 -2.667 0.589
```

Entry x
# Dy4Ho3Er4

A relaxed structure of Dy4Ho3Er4 (PBE, the Alexandria database).

The structure in extended XYZ format:
```
11
Lattice="3.476 0.000 0.000 0.000 5.537 0.000 1.733 2.763 17.596" Properties=species:S:1:pos:R:3 pbc="T T T"
Dy 0.865 1.378 7.184
Dy 0.866 4.150 2.449
Dy 4.343 4.150 15.147
Dy 4.344 6.923 10.412
Ho 2.605 6.920 13.611
Ho 2.605 4.150 8.798
Ho 2.605 1.381 3.985
Er 0.867 4.147 5.614
Er 0.870 1.384 0.589
Er 4.340 6.917 17.008
Er 4.342 4.154 11.983
```

It is entry x that is most stable; the runner-up trails by 124 meV/atom.

Entry w
# Dy3Ho4Er2

A relaxed structure of Dy3Ho4Er2 (PBE, the Alexandria database).

The structure in extended XYZ format:
```
9
Lattice="7.463 -2.484 0.000 7.463 2.484 0.000 -2.458 0.000 7.472" Properties=species:S:1:pos:R:3 pbc="T T T"
Dy 0.000 0.000 0.000
Dy 0.019 0.000 4.980
Dy 12.448 0.000 2.492
Ho 2.495 0.000 2.491
Ho 2.516 0.000 7.472
Ho 9.951 0.000 0.000
Ho 9.972 0.000 4.981
Er 4.993 0.000 4.980
Er 7.474 0.000 2.492
```

Entry x
# Dy3Ho4Er2

A relaxed structure of Dy3Ho4Er2 (PBE, the Alexandria database).

The structure in extended XYZ format:
```
18
Lattice="8.044 -5.725 0.000 8.044 5.725 0.000 -0.636 0.000 6.023" Properties=species:S:1:pos:R:3 pbc="T T T"
Dy 7.567 4.618 4.517
Dy 4.776 1.107 5.528
Dy 5.094 -1.107 2.517
Dy 10.358 1.107 3.506
Dy 10.676 -1.107 0.494
Dy 7.885 -4.618 1.506
Ho 3.200 1.623 2.088
Ho 6.992 1.620 2.929
Ho 2.882 -1.623 5.099
Ho 8.778 1.620 0.082
Ho 6.674 -1.620 5.941
Ho 12.570 1.623 0.924
Ho 8.461 -1.620 3.093
Ho 12.252 -1.623 3.935
Er 5.995 4.112 1.090
Er 9.775 4.112 1.922
Er 5.677 -4.112 4.101
Er 9.458 -4.112 4.933
```

It is entry w that is most stable; the runner-up trails by 85 meV/atom.

Entry w
# Dy3HoEr7

A relaxed structure of Dy3HoEr7 (PBE, the Alexandria database).

The structure in extended XYZ format:
```
11
Lattice="6.216 -5.525 0.000 6.216 5.525 0.000 -2.632 0.000 5.086" Properties=species:S:1:pos:R:3 pbc="T T T"
Dy 0.000 0.000 0.000
Dy 4.900 3.221 2.543
Dy 4.900 -3.221 2.543
Ho 6.216 0.000 0.000
Er 1.985 2.192 1.029
Er 0.716 0.000 3.590
Er 1.985 -2.192 1.029
Er 4.900 0.000 2.543
Er 7.815 2.192 4.057
Er 9.084 0.000 1.496
Er 7.815 -2.192 4.057
```

Entry x
# Dy3HoEr7

A relaxed structure of Dy3HoEr7 (PBE, the Alexandria database).

The structure in extended XYZ format:
```
11
Lattice="6.871 0.000 0.000 0.000 5.454 0.000 -3.418 0.000 9.224" Properties=species:S:1:pos:R:3 pbc="T T T"
Dy 0.000 0.000 0.000
Dy 0.215 2.727 4.606
Dy 3.238 2.727 4.618
Ho 3.435 0.000 0.000
Er -1.709 0.000 4.612
Er -1.698 2.727 7.292
Er 1.720 2.727 1.292
Er 1.730 0.000 3.047
Er 1.722 0.000 6.177
Er 1.733 2.727 7.932
Er 5.151 2.727 1.932
```

It is entry x that is most stable; the runner-up trails by 127 meV/atom.

Entry w
# DyHo3Er7

A relaxed structure of DyHo3Er7 (PBE, the Alexandria database).

The structure in extended XYZ format:
```
11
Lattice="6.866 0.000 0.000 0.000 5.455 0.000 -3.383 0.000 9.208" Properties=species:S:1:pos:R:3 pbc="T T T"
Dy 0.000 0.000 0.000
Ho 0.226 2.728 4.594
Ho 3.433 0.000 0.000
Ho 3.256 2.728 4.614
Er -1.692 0.000 4.604
Er -1.670 2.728 7.280
Er 1.726 2.728 1.296
Er 1.750 0.000 3.046
Er 1.733 0.000 6.162
Er 1.757 2.728 7.912
Er 5.153 2.728 1.928
```

Entry x
# DyHo3Er7

A relaxed structure of DyHo3Er7 (PBE, the Alexandria database).

The structure in extended XYZ format:
```
11
Lattice="6.212 -5.521 0.000 6.212 5.521 0.000 -2.622 0.000 5.078" Properties=species:S:1:pos:R:3 pbc="T T T"
Dy 0.000 0.000 0.000
Ho 4.901 2.293 2.539
Ho 6.212 0.000 0.000
Ho 4.901 -2.293 2.539
Er -1.311 0.000 2.539
Er 1.604 2.188 4.051
Er 2.868 0.000 1.494
Er 1.604 -2.188 4.051
Er 8.198 2.188 1.027
Er 6.933 0.000 3.585
Er 8.198 -2.188 1.027
```

It is entry w that is most stable; the runner-up trails by 125 meV/atom.

Entry w
# Dy4Ho3Er5

A relaxed structure of Dy4Ho3Er5 (PBE, the Alexandria database).

The structure in extended XYZ format:
```
12
Lattice="6.084 0.000 0.000 0.012 7.033 0.000 0.011 0.002 8.599" Properties=species:S:1:pos:R:3 pbc="T T T"
Dy 1.021 0.002 2.862
Dy 2.043 5.272 5.737
Dy 4.064 1.763 2.863
Dy 5.086 7.033 5.738
Ho 2.036 1.759 5.736
Ho 3.048 3.517 0.000
Ho 4.071 5.276 2.863
Er 0.004 1.761 0.000
Er 6.103 5.274 8.599
Er 1.023 3.519 2.861
Er 3.042 0.000 0.000
Er 5.084 3.516 5.738
```

Entry x
# Dy4Ho3Er5

A relaxed structure of Dy4Ho3Er5 (PBE, the Alexandria database).

The structure in extended XYZ format:
```
12
Lattice="7.927 -2.908 0.000 7.927 2.908 0.000 -4.091 0.000 8.218" Properties=species:S:1:pos:R:3 pbc="T T T"
Dy -0.516 0.000 3.624
Dy -0.210 0.000 7.225
Dy 11.972 0.000 0.993
Dy 12.278 0.000 4.594
Ho 2.373 0.000 1.916
Ho 7.927 0.000 0.000
Ho 9.389 0.000 6.302
Er 0.000 0.000 0.000
Er 2.677 0.000 5.049
Er 5.546 0.000 2.462
Er 6.216 0.000 5.756
Er 9.085 0.000 3.169
```

It is entry w that is most stable; the runner-up trails by 227 meV/atom.

Entry w
# DyHo2Er7

A relaxed structure of DyHo2Er7 (PBE, the Alexandria database).

The structure in extended XYZ format:
```
10
Lattice="6.067 0.000 0.000 -1.010 5.994 0.000 -3.014 -2.565 8.373" Properties=species:S:1:pos:R:3 pbc="T T T"
Dy 0.000 0.000 0.000
Ho 1.017 2.227 2.513
Ho 1.025 1.201 5.860
Er -2.012 1.714 4.187
Er -1.003 4.966 3.350
Er -2.003 0.689 7.536
Er -0.996 3.942 6.697
Er 3.039 -0.514 1.677
Er 3.045 -1.538 5.024
Er 4.045 2.739 0.837
```

Entry x
# DyHo2Er7

A relaxed structure of DyHo2Er7 (PBE, the Alexandria database).

The structure in extended XYZ format:
```
10
Lattice="4.310 -8.442 0.000 4.310 8.442 0.000 0.000 0.000 5.170" Properties=species:S:1:pos:R:3 pbc="T T T"
Dy 0.000 0.000 0.000
Ho 4.310 3.398 2.585
Ho 4.310 -3.398 2.585
Er 1.539 1.847 2.585
Er 4.310 5.106 0.000
Er 1.539 -1.847 2.585
Er 4.310 0.000 2.585
Er 7.081 1.847 2.585
Er 4.310 -5.106 0.000
Er 7.081 -1.847 2.585
```

It is entry w that is most stable; the runner-up trails by 686 meV/atom.